Computed, not measured: a relaxed structure of SrTaGa2I at the PBE level of DFT.

Calculated values
The calculated density comes out at 5.080 g cm⁻³. As for the total moment: 0.349 μB/atom.

Cell lengths 5.0810, 5.0810, 6.7731 Å; angles 90.00, 90.00, 90.00 degrees
Fractional positions:
Sr 0.0000 0.0000 0.0000
Ta 0.0000 0.0000 0.5000
Ga 0.0000 0.5000 0.5000
Ga 0.5000 0.0000 0.5000
I 0.5000 0.5000 0.0000

---

Computed, not measured: a relaxed structure of SrGaTcI2 at the PBE level of DFT.

Calculated values
The calculated density comes out at 3.286 g cm⁻³. As for the total moment: 0.800 μB/atom.

Cell lengths 6.2663, 6.2663, 6.5535 Å; angles 90.00, 90.00, 90.00 degrees
Fractional positions:
Sr 0.0000 0.0000 0.0000
Ga 0.5000 0.5000 0.5000
Tc 0.0000 0.0000 0.5000
I 0.0000 0.5000 0.0000
I 0.5000 0.0000 0.0000

---

Computed, not measured: a relaxed structure of SrGaTe2I at the PBE level of DFT.

Calculated values
As for the offset from the most stable computed form: 0 meV/atom. The calculated density comes out at 5.122 g cm⁻³. As for the total moment: 0.000 μB/atom.

Cell lengths 5.4392, 5.4392, 5.9115 Å; angles 90.00, 90.00, 90.00 degrees
Fractional positions:
Sr 0.0000 0.0000 0.0000
Ga 0.5000 0.5000 0.5000
Te 0.0000 0.5000 0.5000
Te 0.5000 0.0000 0.5000
I 0.5000 0.5000 0.0000

---

Computed, not measured: a relaxed structure of SrGaTe2I at the PBE level of DFT.

Calculated values
As for the offset from the most stable computed form: 428 meV/atom. The calculated density comes out at 3.574 g cm⁻³. As for the total moment: 0.292 μB/atom.

Cell lengths 6.2703, 6.2703, 6.3747 Å; angles 90.00, 90.00, 90.00 degrees
Fractional positions:
Sr 0.0000 0.0000 0.0000
Ga 0.5000 0.5000 0.5000
Te 0.0000 0.5000 0.0000
Te 0.5000 0.0000 0.0000
I 0.0000 0.0000 0.5000

---

Computed, not measured: a relaxed structure of SrTiGaI2 at the PBE level of DFT.

Calculated values
The calculated density comes out at 3.148 g cm⁻³. As for the total moment: 0.002 μB/atom.

Cell lengths 6.1598, 6.1598, 6.3811 Å; angles 90.00, 90.00, 90.00 degrees
Fractional positions:
Sr 0.0000 0.0000 0.0000
Ti 0.5000 0.5000 0.5000
Ga 0.0000 0.0000 0.5000
I 0.0000 0.5000 0.0000
I 0.5000 0.0000 0.0000

---

Computed, not measured: a relaxed structure of SrTl2GaI5 at the PBE level of DFT.

Calculated values
The calculated density comes out at 4.754 g cm⁻³. As for the total moment: 0.000 μB/atom.

Cell lengths 10.4897, 10.4897, 17.0603 Å; angles 90.00, 90.00, 153.46 degrees
Fractional positions:
Sr 0.2410 0.7590 0.5000
Sr 0.7590 0.2410 0.0000
Tl 0.0753 0.9247 0.1275
Tl 0.1322 0.8678 0.7375
Tl 0.8678 0.1322 0.2375
Tl 0.9247 0.0753 0.6275
Ga 0.4474 0.5526 0.9189
Ga 0.5526 0.4474 0.4189
I 0.0825 0.9175 0.5381
I 0.2508 0.7492 0.1360
I 0.2861 0.7139 0.8720
I 0.3994 0.6006 0.4823
I 0.4872 0.5128 0.2421
I 0.5128 0.4872 0.7421
I 0.6006 0.3994 0.9823
I 0.7139 0.2861 0.3720
I 0.7492 0.2508 0.6360
I 0.9175 0.0825 0.0381

---

Computed, not measured: a relaxed structure of SrTlGa2I at the PBE level of DFT.

Calculated values
The calculated density comes out at 4.003 g cm⁻³. As for the total moment: 0.000 μB/atom.

Cell lengths 6.1115, 6.1115, 6.2013 Å; angles 90.00, 90.00, 90.00 degrees
Fractional positions:
Sr 0.0000 0.0000 0.0000
Tl 0.5000 0.5000 0.5000
Ga 0.0000 0.5000 0.0000
Ga 0.5000 0.0000 0.0000
I 0.0000 0.0000 0.5000

---

Computed, not measured: a relaxed structure of SrTl3Ga3I8 at the PBE level of DFT.

Calculated values
The calculated density comes out at 4.946 g cm⁻³. As for the total moment: 0.000 μB/atom.

Cell lengths 9.8215, 9.8215, 9.8215 Å; angles 58.46, 58.46, 58.46 degrees
Fractional positions:
Sr 0.0000 0.0000 0.0000
Tl 0.0000 0.0000 0.5000
Tl 0.0000 0.5000 0.0000
Tl 0.5000 0.0000 0.0000
Ga 0.0000 0.5000 0.5000
Ga 0.5000 0.0000 0.5000
Ga 0.5000 0.5000 0.0000
I 0.2409 0.2409 0.7459
I 0.2409 0.7459 0.2409
I 0.2541 0.7591 0.7591
I 0.2566 0.2566 0.2566
I 0.7434 0.7434 0.7434
I 0.7459 0.2409 0.2409
I 0.7591 0.2541 0.7591
I 0.7591 0.7591 0.2541

---

Computed, not measured: a relaxed structure of Sr2VGaI at the PBE level of DFT.

Calculated values
The calculated density comes out at 3.772 g cm⁻³. As for the total moment: 0.691 μB/atom.

Cell lengths 6.1721, 6.1721, 4.8865 Å; angles 90.00, 90.00, 90.00 degrees
Fractional positions:
Sr 0.0000 0.5000 0.0000
Sr 0.5000 0.0000 0.0000
V 0.0000 0.0000 0.5000
Ga 0.0000 0.0000 0.0000
I 0.5000 0.5000 0.5000

---

Computed, not measured: a relaxed structure of Ta2GaI at the PBE level of DFT.

Calculated values
As for the offset from the most stable computed form: 169 meV/atom. The calculated density comes out at 10.991 g cm⁻³. As for the total moment: 0.000 μB/atom.

Cell lengths 4.1579, 4.1579, 19.5242 Å; angles 90.00, 90.00, 90.00 degrees
Fractional positions:
Ta 0.2347 0.2500 0.1250
Ta 0.2500 0.7347 0.3750
Ta 0.2500 0.7653 0.8750
Ta 0.2653 0.2500 0.6250
Ta 0.7347 0.7500 0.6250
Ta 0.7500 0.2347 0.8750
Ta 0.7500 0.2653 0.3750
Ta 0.7653 0.7500 0.1250
Ga 0.0000 0.0000 0.0000
Ga 0.0000 0.5000 0.2500
Ga 0.5000 0.0000 0.7500
Ga 0.5000 0.5000 0.5000
I 0.0000 0.0000 0.5000
I 0.0000 0.5000 0.7500
I 0.5000 0.0000 0.2500
I 0.5000 0.5000 0.0000

---

Computed, not measured: a relaxed structure of TaGa3I at the PBE level of DFT.

Calculated values
As for the offset from the most stable computed form: 0 meV/atom. The calculated density comes out at 5.879 g cm⁻³. As for the total moment: 0.555 μB/atom.

Cell lengths 5.2660, 5.2660, 5.2660 Å; angles 90.00, 90.00, 90.00 degrees
Fractional positions:
Ta 0.0000 0.0000 0.0000
Ga 0.0000 0.0000 0.5000
Ga 0.0000 0.5000 0.0000
Ga 0.5000 0.0000 0.0000
I 0.5000 0.5000 0.5000

---

Computed, not measured: a relaxed structure of TaGaI at the PBE level of DFT.

Calculated values
The calculated density comes out at 8.147 g cm⁻³. As for the total moment: 0.000 μB/atom.

Cell lengths 14.0186, 3.4125, 6.5062 Å; angles 90.00, 98.49, 90.00 degrees
Fractional positions:
Ta 0.2440 0.0000 0.1655
Ta 0.2560 0.5000 0.8345
Ta 0.7440 0.5000 0.1655
Ta 0.7560 0.0000 0.8345
Ga 0.0898 0.5000 0.0308
Ga 0.4102 0.0000 0.9692
Ga 0.5898 0.0000 0.0308
Ga 0.9102 0.5000 0.9692
I 0.1379 0.0000 0.5379
I 0.3621 0.5000 0.4621
I 0.6379 0.5000 0.5379
I 0.8621 0.0000 0.4621

---

Computed, not measured: a relaxed structure of Ta3GaI at the PBE level of DFT.

Calculated values
As for the offset from the most stable computed form: 0 meV/atom. The calculated density comes out at 10.835 g cm⁻³. As for the total moment: 0.000 μB/atom.

Cell lengths 4.8392, 4.8392, 4.8392 Å; angles 90.00, 90.00, 90.00 degrees
Fractional positions:
Ta 0.0000 0.0000 0.5000
Ta 0.0000 0.5000 0.0000
Ta 0.5000 0.0000 0.0000
Ga 0.0000 0.0000 0.0000
I 0.5000 0.5000 0.5000

---

Computed, not measured: a relaxed structure of TaGa3I at the PBE level of DFT.

Calculated values
As for the offset from the most stable computed form: 1071 meV/atom. The calculated density comes out at 4.941 g cm⁻³. As for the total moment: 0.642 μB/atom.

Cell lengths 5.5801, 5.5801, 5.5801 Å; angles 90.00, 90.00, 90.00 degrees
Fractional positions:
Ta 0.0000 0.0000 0.0000
Ga 0.0000 0.5000 0.5000
Ga 0.5000 0.0000 0.5000
Ga 0.5000 0.5000 0.0000
I 0.5000 0.5000 0.5000

---

Computed, not measured: a relaxed structure of Ta2GaI at the PBE level of DFT.

Calculated values
As for the offset from the most stable computed form: 0 meV/atom. The calculated density comes out at 12.444 g cm⁻³. As for the total moment: 0.000 μB/atom.

Cell lengths 6.6803, 6.6803, 6.6803 Å; angles 90.00, 90.00, 90.00 degrees
Fractional positions:
Ta 0.2500 0.2500 0.2500
Ta 0.2500 0.2500 0.7500
Ta 0.2500 0.7500 0.2500
Ta 0.2500 0.7500 0.7500
Ta 0.7500 0.2500 0.2500
Ta 0.7500 0.2500 0.7500
Ta 0.7500 0.7500 0.2500
Ta 0.7500 0.7500 0.7500
Ga 0.0000 0.0000 0.0000
Ga 0.0000 0.5000 0.5000
Ga 0.5000 0.0000 0.5000
Ga 0.5000 0.5000 0.0000
I 0.0000 0.0000 0.5000
I 0.0000 0.5000 0.0000
I 0.5000 0.0000 0.0000
I 0.5000 0.5000 0.5000

---

Computed, not measured: a relaxed structure of TaGaTcI2 at the PBE level of DFT.

Calculated values
The calculated density comes out at 6.723 g cm⁻³. As for the total moment: 0.067 μB/atom.

Cell lengths 5.5802, 5.5802, 4.7790 Å; angles 90.00, 90.00, 90.00 degrees
Fractional positions:
Ta 0.0000 0.0000 0.0000
Ga 0.5000 0.5000 0.0000
Tc 0.0000 0.0000 0.5000
I 0.0000 0.5000 0.5000
I 0.5000 0.0000 0.5000

---

Computed, not measured: a relaxed structure of TbGaI2 at the PBE level of DFT.

Calculated values
The calculated density comes out at 5.167 g cm⁻³. As for the total moment: 0.000 μB/atom.

Cell lengths 4.1708, 4.1708, 30.8749 Å; angles 90.00, 90.00, 120.00 degrees
Fractional positions:
Tb 0.0000 0.0000 0.0000
Tb 0.3333 0.6667 0.6667
Tb 0.6667 0.3333 0.3333
Ga 0.0000 0.0000 0.5000
Ga 0.3333 0.6667 0.1667
Ga 0.6667 0.3333 0.8333
I 0.0000 0.0000 0.0969
I 0.0000 0.0000 0.9031
I 0.3333 0.6667 0.5697
I 0.3333 0.6667 0.7636
I 0.6667 0.3333 0.2364
I 0.6667 0.3333 0.4303

---

Computed, not measured: a relaxed structure of Tb2GaI at the PBE level of DFT.

Calculated values
As for the offset from the most stable computed form: 0 meV/atom. The calculated density comes out at 7.301 g cm⁻³. As for the total moment: 0.000 μB/atom.

Cell lengths 4.2780, 4.2780, 22.1478 Å; angles 90.00, 90.00, 120.00 degrees
Fractional positions:
Tb 0.0000 0.0000 0.2344
Tb 0.0000 0.0000 0.7656
Tb 0.3333 0.6667 0.4323
Tb 0.3333 0.6667 0.9010
Tb 0.6667 0.3333 0.0990
Tb 0.6667 0.3333 0.5677
Ga 0.0000 0.0000 0.5000
Ga 0.3333 0.6667 0.1667
Ga 0.6667 0.3333 0.8333
I 0.0000 0.0000 0.0000
I 0.3333 0.6667 0.6667
I 0.6667 0.3333 0.3333

---

Computed, not measured: a relaxed structure of Tb2GaI at the PBE level of DFT.

Calculated values
As for the offset from the most stable computed form: 122 meV/atom. The calculated density comes out at 8.069 g cm⁻³. As for the total moment: 0.001 μB/atom.

Cell lengths 3.5886, 3.5886, 8.2211 Å; angles 90.00, 90.00, 90.00 degrees
Fractional positions:
Tb 0.0000 0.0000 0.2193
Tb 0.0000 0.0000 0.7807
Ga 0.5000 0.5000 0.0000
I 0.5000 0.5000 0.5000

---

Computed, not measured: a relaxed structure of Tb3GaI7 at the PBE level of DFT.

Calculated values
The calculated density comes out at 4.908 g cm⁻³. As for the total moment: 0.273 μB/atom.

Cell lengths 8.7253, 8.7253, 7.3628 Å; angles 90.00, 90.00, 120.00 degrees
Fractional positions:
Tb 0.0132 0.5066 0.0000
Tb 0.4934 0.5066 0.0000
Tb 0.4934 0.9868 0.0000
Ga 0.3333 0.6667 0.7558
I 0.1695 0.3390 0.2487
I 0.1695 0.8305 0.2487
I 0.3378 0.1689 0.7711
I 0.6610 0.8305 0.2487
I 0.6667 0.3333 0.2463
I 0.8311 0.1689 0.7711
I 0.8311 0.6622 0.7711

---

Energy relative to the elements, uncorrected, respectively: 0.35, 0.61, -0.62, -0.19, 0.56, -0.91, 0.25, -0.74, -0.08, 0.75, 0.60, 0.15, 1.56, 1.67, 0.58, 1.02, -0.34, -0.70, -0.58, -1.05 eV per atom.
Total DFT energy (no corrections), respectively: -19.37, -15.14, -15.63, -13.49, -12.93, -25.42, -10.42, -41.43, -17.47, -25.29, -19.47, -15.99, -32.32, -14.11, -25.96, -23.24, -12.10, -16.66, -16.17, -39.27 eV per formula unit.